[1]
First-principles (PBE) data for crystalline TeMoIr2 at its relaxed geometry, as listed in Alexandria. Values from VASP.

Calculated values
Fermi-level density of states = 2.64 states/eV per cell
Crystal system = tetragonal
E above lowest polymorph = 0.171 eV per atom

Cell and atoms, written as Quantum ESPRESSO input:
```
&SYSTEM
  ibrav = 0, nat = 4, ntyp = 3
/
ATOMIC_SPECIES
Te 127.60 Te.upf
Mo 95.94 Mo.upf
Ir 192.22 Ir.upf
CELL_PARAMETERS angstrom
4.776 0.000 0.000
1.098 4.649 0.000
-2.937 -2.324 2.964
ATOMIC_POSITIONS crystal
Te 0.750 0.250 0.500
Mo 0.500 0.500 0.000
Ir 0.250 0.750 0.500
Ir 0.000 0.000 0.000
```


[2]
First-principles (PBE) data for crystalline TeMoIr2 at its relaxed geometry, as listed in Alexandria. Values from VASP.

Calculated values
Fermi-level density of states = 3.71 states/eV per cell
Crystal system = monoclinic
E above lowest polymorph = 0.169 eV per atom

Cell and atoms, written as Quantum ESPRESSO input:
```
&SYSTEM
  ibrav = 0, nat = 4, ntyp = 3
/
ATOMIC_SPECIES
Te 127.60 Te.upf
Mo 95.94 Mo.upf
Ir 192.22 Ir.upf
CELL_PARAMETERS angstrom
6.317 0.002 0.007
-2.476 4.237 -0.005
1.364 0.806 2.484
ATOMIC_POSITIONS crystal
Te 0.500 0.500 0.000
Mo 0.000 0.500 0.500
Ir 0.000 0.000 0.000
Ir 0.500 0.000 0.500
```


[3]
First-principles (PBE) data for crystalline TeMo2Ir at its relaxed geometry, as listed in Alexandria. Values from VASP.

Calculated values
Fermi-level density of states = 2.92 states/eV per cell
Crystal system = monoclinic
E above lowest polymorph = 0.000 eV per atom

Cell and atoms, written as Quantum ESPRESSO input:
```
&SYSTEM
  ibrav = 0, nat = 4, ntyp = 3
/
ATOMIC_SPECIES
Mo 95.94 Mo.upf
Ir 192.22 Ir.upf
Te 127.60 Te.upf
CELL_PARAMETERS angstrom
5.018 -0.009 0.006
4.081 2.920 0.006
1.377 0.441 4.597
ATOMIC_POSITIONS crystal
Mo 0.753 0.753 0.711
Ir 0.252 0.252 0.189
Mo 0.989 0.989 0.065
Te 0.506 0.506 0.535
```


[4]
First-principles (PBE) data for crystalline TeMoIr2 at its relaxed geometry, as listed in Alexandria. Values from VASP.

Calculated values
Fermi-level density of states = 2.62 states/eV per cell
Crystal system = orthorhombic
E above lowest polymorph = 0.141 eV per atom

Cell and atoms, written as Quantum ESPRESSO input:
```
&SYSTEM
  ibrav = 0, nat = 4, ntyp = 3
/
ATOMIC_SPECIES
Mo 95.94 Mo.upf
Ir 192.22 Ir.upf
Te 127.60 Te.upf
CELL_PARAMETERS angstrom
4.953 -0.183 -0.284
1.909 4.574 0.284
-3.278 -2.434 2.829
ATOMIC_POSITIONS crystal
Mo 0.750 0.250 0.500
Ir 0.000 0.000 0.000
Ir 0.500 0.500 0.000
Te 0.250 0.750 0.500
```


[5]
First-principles (PBE) data for crystalline TeMo2Ir at its relaxed geometry, as listed in Alexandria. Values from VASP.

Calculated values
Fermi-level density of states = 3.69 states/eV per cell
Crystal system = monoclinic
E above lowest polymorph = 0.088 eV per atom

Cell and atoms, written as Quantum ESPRESSO input:
```
&SYSTEM
  ibrav = 0, nat = 4, ntyp = 3
/
ATOMIC_SPECIES
Ir 192.22 Ir.upf
Mo 95.94 Mo.upf
Te 127.60 Te.upf
CELL_PARAMETERS angstrom
-2.430 -3.273 0.694
2.105 -1.203 1.696
-0.804 1.796 5.656
ATOMIC_POSITIONS crystal
Ir 0.500 0.750 0.750
Mo 0.000 0.395 0.531
Mo 0.000 0.105 0.969
Te 0.500 0.250 0.250
```


[6]
First-principles (PBE) data for crystalline Te2MoIr at its relaxed geometry, as listed in Alexandria. Values from VASP.

Calculated values
Fermi-level density of states = 4.64 states/eV per cell
Crystal system = orthorhombic
E above lowest polymorph = 0.640 eV per atom

Cell and atoms, written as Quantum ESPRESSO input:
```
&SYSTEM
  ibrav = 0, nat = 4, ntyp = 3
/
ATOMIC_SPECIES
Mo 95.94 Mo.upf
Te 127.60 Te.upf
Ir 192.22 Ir.upf
CELL_PARAMETERS angstrom
3.224 0.000 0.000
0.000 5.516 0.000
0.000 0.000 4.492
ATOMIC_POSITIONS crystal
Mo 0.000 0.500 0.500
Te 0.500 0.500 0.000
Ir 0.500 0.000 0.500
Te 0.000 0.000 0.000
```


> The lowest Fermi-level density of states belongs to which entry?

number 4